# BeB3Pb PBE optimized geometry
data_BeB3Pb
_space_group_name_H-M_alt 'P m -3 m'
_space_group_IT_number 221
_space_group_name_Hall '-P 4 2 3'
_cell_length_a 3.991
_cell_length_b 3.991
_cell_length_c 3.991
_cell_angle_alpha 90.00
_cell_angle_beta 90.00
_cell_angle_gamma 90.00
loop_
_atom_site_label
_atom_site_type_symbol
_atom_site_fract_x
_atom_site_fract_y
_atom_site_fract_z
_atom_site_occupancy
Be1 Be 0.000 0.000 0.000 1
B1 B 0.000 0.000 0.500 1
Pb1 Pb 0.500 0.500 0.500 1
# - Fermi-level density of states: 0.5033 states/eV per atom
# - Calculated formation energy: 1.62 eV/atom

---

# Sc4GaTc PBE optimized geometry
data_Sc4GaTc
_space_group_name_H-M_alt 'C 1 2/m 1'
_space_group_IT_number 12
_space_group_name_Hall '-C 2y'
_cell_length_a 6.433
_cell_length_b 6.433
_cell_length_c 6.585
_cell_angle_alpha 90.00
_cell_angle_beta 90.07
_cell_angle_gamma 90.00
loop_
_atom_site_label
_atom_site_type_symbol
_atom_site_fract_x
_atom_site_fract_y
_atom_site_fract_z
_atom_site_occupancy
Sc1 Sc 0.250 0.250 0.236 1
Ga1 Ga 0.000 0.000 0.500 1
Tc1 Tc 0.000 0.500 0.000 1
# - Fermi-level density of states: 0.9165 states/eV per atom
# - Calculated formation energy: -0.13 eV/atom

---

# LiPmHfRh PBE optimized geometry
data_LiPmHfRh
_space_group_name_H-M_alt 'F -4 3 m'
_space_group_IT_number 216
_space_group_name_Hall 'F -4 2 3'
_cell_length_a 6.843
_cell_length_b 6.843
_cell_length_c 6.843
_cell_angle_alpha 90.00
_cell_angle_beta 90.00
_cell_angle_gamma 90.00
loop_
_atom_site_label
_atom_site_type_symbol
_atom_site_fract_x
_atom_site_fract_y
_atom_site_fract_z
_atom_site_occupancy
Li1 Li 0.000 0.000 0.000 1
Pm1 Pm 0.250 0.250 0.250 1
Hf1 Hf 0.250 0.250 0.750 1
Rh1 Rh 0.000 0.000 0.500 1
# - Fermi-level density of states: 0.9662 states/eV per atom
# - Calculated formation energy: -0.25 eV/atom

---

# Pm2DyBe PBE optimized geometry
data_Pm2DyBe
_space_group_name_H-M_alt 'R -3 m'
_space_group_IT_number 166
_space_group_name_Hall '-R 3 2"'
_cell_length_a 3.4721
_cell_length_b 3.4721
_cell_length_c 34.8225
_cell_angle_alpha 90.00
_cell_angle_beta 90.00
_cell_angle_gamma 120.00
loop_
_atom_site_label
_atom_site_type_symbol
_atom_site_fract_x
_atom_site_fract_y
_atom_site_fract_z
_atom_site_occupancy
Pm1 Pm 0.0000 0.0000 0.0844 1
Dy1 Dy 0.0000 0.0000 0.5000 1
Be1 Be 0.0000 0.0000 0.0000 1
# - Fermi-level density of states: 1.1289 states/eV per atom
# - Calculated formation energy: 0.68 eV/atom

---

# NbCd2Os2 PBE optimized geometry
data_NbCd2Os2
_space_group_name_H-M_alt 'I 4/m m m'
_space_group_IT_number 139
_space_group_name_Hall '-I 4 2'
_cell_length_a 3.600
_cell_length_b 3.600
_cell_length_c 14.425
_cell_angle_alpha 90.00
_cell_angle_beta 90.00
_cell_angle_gamma 90.00
loop_
_atom_site_label
_atom_site_type_symbol
_atom_site_fract_x
_atom_site_fract_y
_atom_site_fract_z
_atom_site_occupancy
Nb1 Nb 0.000 0.000 0.000 1
Cd1 Cd 0.000 0.500 0.250 1
Os1 Os 0.000 0.000 0.411 1
# - Fermi-level density of states: 0.8579 states/eV per atom
# - Calculated formation energy: 0.78 eV/atom

---

# Pr3Sn4Rh8 PBE optimized geometry
data_Pr3Sn4Rh8
_space_group_name_H-M_alt 'F m -3 m'
_space_group_IT_number 225
_space_group_name_Hall '-F 4 2 3'
_cell_length_a 13.268
_cell_length_b 13.268
_cell_length_c 13.268
_cell_angle_alpha 90.00
_cell_angle_beta 90.00
_cell_angle_gamma 90.00
loop_
_atom_site_label
_atom_site_type_symbol
_atom_site_fract_x
_atom_site_fract_y
_atom_site_fract_z
_atom_site_occupancy
Pr1 Pr 0.000 0.000 0.231 1
Sn1 Sn 0.000 0.000 0.000 1
Sn2 Sn 0.000 0.000 0.500 1
Sn3 Sn 0.000 0.250 0.250 1
Rh1 Rh 0.123 0.123 0.377 1
Rh2 Rh 0.173 0.173 0.173 1
# - Fermi-level density of states: 0.5887 states/eV per atom
# - Calculated formation energy: -0.62 eV/atom